A plane-wave DFT calculation with GGA-PBE was carried out for crystalline LaYHg2 at its relaxed geometry.

POSCAR file:
```
LaYHg2
1.0
5.4248 0.0000 0.0000
0.0000 3.7973 -0.0065
0.0000 0.0081 5.4248
Hg Y La
2 1 1
Cartesian
2.7124 0.4760 2.0356
0.0000 0.4827 4.7446
2.7124 2.3822 4.7430
0.0000 2.3752 2.0292
```

Computed properties:
Energy of formation: -0.4783 eV per atom


A plane-wave DFT calculation with GGA-PBE was carried out for crystalline Li2CoOs at its relaxed geometry.

POSCAR file:
```
Li2CoOs
1.0
5.0414 0.0446 0.0552
2.3641 4.4530 -0.0552
-3.0553 -3.3150 2.2577
Li Co Os
2 1 1
Cartesian
2.9143 -0.4684 1.1565
0.0262 0.0159 0.0000
1.4847 1.6805 1.1013
3.6279 2.2033 0.0000
```

Computed properties:
Energy above the lowest structure with this stoichiometry: 215 meV per atom
Energy of formation: 0.3420 eV per atom


A plane-wave DFT calculation with GGA-PBE was carried out for crystalline CrInIr3 at its relaxed geometry.

POSCAR file:
```
CrInIr3
1.0
4.5273 0.0000 0.0000
0.0000 4.5273 0.0000
0.0000 0.0000 4.5273
Ir In Cr
3 1 1
Cartesian
0.0000 0.0000 2.2637
0.0000 2.2637 0.0000
2.2637 0.0000 0.0000
2.2637 2.2637 2.2637
0.0000 0.0000 0.0000
```

Computed properties:
Energy above the lowest structure with this stoichiometry: 0 meV per atom
Energy of formation: 1.0490 eV per atom


A plane-wave DFT calculation with GGA-PBE was carried out for crystalline Ce6SiOs at its relaxed geometry.

POSCAR file:
```
Ce6SiOs
1.0
-1.8932 -3.0972 -4.7320
3.5106 -3.9917 2.7039
-5.0971 -0.5538 3.6376
Os Ce Si
1 6 1
Cartesian
-1.7399 -3.8213 0.8047
-1.9580 -5.1513 3.1818
-0.6207 -6.0135 -0.2723
-1.5218 -2.4914 -1.5723
0.7193 -2.8624 1.5115
-4.1990 -4.7803 0.0980
-2.8590 -1.6292 1.8817
0.0000 0.0000 0.0000
```

Computed properties:
Uncorrected formation energy: -73 meV per atom


A plane-wave DFT calculation with GGA-PBE was carried out for crystalline HoMg2Sc6 at its relaxed geometry.

POSCAR file:
```
HoMg2Sc6
1.0
-5.3513 4.5829 -4.4731
-7.9743 -1.0063 1.6811
-1.2277 7.7112 2.5414
Sc Ho Mg
12 2 4
Cartesian
-5.1048 1.7615 -0.8367
-5.5946 6.8774 -2.7946
-9.4484 9.5263 0.5860
-2.0663 2.8921 -0.8359
-7.5900 4.1117 -0.2033
-6.9632 7.1761 -0.0474
-8.6467 7.6091 2.9703
-12.4870 8.3957 0.5852
-8.9587 4.4104 2.5439
-5.9066 3.6787 -3.2209
-6.0026 2.6686 1.9705
-8.5507 8.6192 -2.2212
-3.7549 7.3200 1.2714
-10.7984 3.9678 -1.5221
-6.1169 5.6839 2.5886
-4.6009 4.8111 -0.4548
-8.4364 5.6039 -2.8393
-9.9523 6.4767 0.2041
```

Computed properties:
Energy of formation: 0.0699 eV per atom


A plane-wave DFT calculation with GGA-PBE was carried out for crystalline MnAu2Cl at its relaxed geometry.

POSCAR file:
```
MnAu2Cl
1.0
0.0000 3.3367 3.3367
3.3367 0.0000 3.3367
3.3367 3.3367 0.0000
Au Mn Cl
2 1 1
Cartesian
5.0051 5.0051 5.0051
1.6684 1.6684 1.6684
3.3367 3.3367 3.3367
0.0000 0.0000 0.0000
```

Computed properties:
Energy above the lowest structure with this stoichiometry: 482 meV per atom
Uncorrected formation energy: 319 meV per atom


no.,magnetic moment (μB/f.u.)
1,0.58
2,1.81
3,0.00
4,2.08
5,0.00
6,3.98